[1]
{"formula": "SrZnSe3", "functional": "PBE", "state": "optimized geometry", "lattice_angstrom": [[5.9766, 0.0000, 0.0000], [0.0000, 5.9766, 0.0000], [0.0000, 0.0000, 5.9766]], "species": ["Sr", "Zn", "Se", "Se", "Se"], "fractional_positions": [[0.0000, 0.0000, 0.0000], [0.5000, 0.5000, 0.5000], [0.0000, 0.0000, 0.5000], [0.0000, 0.5000, 0.0000], [0.5000, 0.0000, 0.0000]], "n_ef_per_ev_fu": 3.1, "e_above_lowest_polymorph_kj_per_mol_atoms": 86.2, "energy_ev_per_atom": -2.452, "raw_formation_energy_ev_per_atom": 0.2299}

---

[2]
{"formula": "CaBe2", "functional": "PBE", "state": "optimized geometry", "lattice_angstrom": [[6.5446, 0.0000, 0.0000], [0.0000, 6.5446, 0.0000], [0.0000, 0.0000, 6.5446]], "species": ["Ca", "Ca", "Ca", "Ca", "Be", "Be", "Be", "Be", "Be", "Be", "Be", "Be"], "fractional_positions": [[0.0000, 0.0000, 0.0000], [0.0000, 0.5000, 0.5000], [0.5000, 0.0000, 0.5000], [0.5000, 0.5000, 0.0000], [0.0899, 0.5899, 0.9101], [0.0899, 0.9101, 0.4101], [0.4101, 0.0899, 0.9101], [0.4101, 0.4101, 0.4101], [0.5899, 0.5899, 0.5899], [0.5899, 0.9101, 0.0899], [0.9101, 0.0899, 0.5899], [0.9101, 0.4101, 0.0899]], "n_ef_per_ev_fu": 2.9, "e_above_lowest_polymorph_kj_per_mol_atoms": 107.6, "energy_ev_per_atom": -1.854, "e_form_ev_per_fu": 3.891}

---

[3]
{"formula": "FeSe", "functional": "PBE", "state": "optimized geometry", "lattice_angstrom": [[9.2845, 0.0000, 0.0000], [-4.6423, 8.0406, 0.0000], [0.0000, 0.0000, 3.5071]], "species": ["Fe", "Fe", "Fe", "Fe", "Fe", "Fe", "Se", "Se", "Se", "Se", "Se", "Se"], "fractional_positions": [[0.0437, 0.4368, 0.2500], [0.3931, 0.9563, 0.2500], [0.4368, 0.3931, 0.7500], [0.5632, 0.6069, 0.2500], [0.6069, 0.0437, 0.7500], [0.9563, 0.5632, 0.7500], [0.1267, 0.7206, 0.2500], [0.2794, 0.4060, 0.2500], [0.4060, 0.1267, 0.7500], [0.5940, 0.8733, 0.2500], [0.7206, 0.5940, 0.7500], [0.8733, 0.2794, 0.7500]], "n_ef_per_ev_fu": 2.6, "energy_ev_per_atom": -6.046, "raw_formation_energy_ev_per_atom": -0.0726}

---

[4]
{"formula": "Cs2NaIn2I6", "functional": "PBE", "state": "optimized geometry", "lattice_angstrom": [[7.4813, -4.4785, 0.0000], [7.4813, 4.4785, 0.0000], [-5.3857, 0.0000, 8.6479]], "species": ["Cs", "Cs", "Na", "In", "In", "I", "I", "I", "I", "I", "I"], "fractional_positions": [[0.2157, 0.2157, 0.1980], [0.7843, 0.7843, 0.8020], [0.0000, 0.0000, 0.5000], [0.4757, 0.4757, 0.8391], [0.5243, 0.5243, 0.1609], [0.1588, 0.7097, 0.2118], [0.2492, 0.2492, 0.5997], [0.2903, 0.8412, 0.7882], [0.7097, 0.1588, 0.2118], [0.7508, 0.7508, 0.4003], [0.8412, 0.2903, 0.7882]], "n_ef_per_ev_fu": 3.1, "energy_ev_per_atom": -2.579, "raw_formation_energy_ev_per_atom": -0.9602}

---

[5]
{"formula": "CsAlMo2Ru", "functional": "PBE", "state": "optimized geometry", "lattice_angstrom": [[4.9524, 0.0000, 0.0000], [0.0000, 4.9524, 0.0000], [0.0000, 0.0000, 4.8252]], "species": ["Cs", "Al", "Mo", "Mo", "Ru"], "fractional_positions": [[0.0000, 0.0000, 0.0000], [0.5000, 0.5000, 0.5000], [0.0000, 0.5000, 0.0000], [0.5000, 0.0000, 0.0000], [0.0000, 0.0000, 0.5000]], "n_ef_per_ev_fu": 6.2, "energy_ev_per_atom": -4.062, "e_form_ev_per_fu": 15.226}

---

[6]
{"formula": "Re2SbTe", "functional": "PBE", "state": "optimized geometry", "lattice_angstrom": [[3.1940, 0.0000, 0.0000], [0.0000, 4.2268, 0.0000], [-0.0144, 0.0000, 7.0374]], "species": ["Re", "Re", "Sb", "Te"], "fractional_positions": [[0.0000, 0.0000, 0.0000], [0.4998, 0.5000, 0.0557], [0.9981, 0.5000, 0.7337], [0.5016, 0.0000, 0.3183]], "n_ef_per_ev_fu": 3.5, "e_above_lowest_polymorph_kj_per_mol_atoms": 11.4, "energy_ev_per_atom": -7.613, "raw_formation_energy_ev_per_atom": 0.4270}

---

[7]
{"formula": "Cr2TcSe", "functional": "PBE", "state": "optimized geometry", "lattice_angstrom": [[3.1661, 0.0000, 0.0000], [0.0000, 1.5891, 5.7887], [0.0000, -1.5891, 5.7887]], "species": ["Cr", "Cr", "Tc", "Se"], "fractional_positions": [[0.0000, 0.0000, 0.0000], [0.5000, 0.3622, 0.3622], [0.5000, 0.6028, 0.6028], [0.0000, 0.7804, 0.7804]], "n_ef_per_ev_fu": 3.2, "energy_ev_per_atom": -8.073, "raw_formation_energy_ev_per_atom": 0.2012}

---

[8]
{"formula": "La2NiGeRh", "functional": "PBE", "state": "optimized geometry", "lattice_angstrom": [[5.4962, 0.0000, 0.0000], [0.0000, 5.4962, 0.0000], [0.0000, 0.0000, 4.6358]], "species": ["La", "La", "Ni", "Ge", "Rh"], "fractional_positions": [[0.0000, 0.5000, 0.0000], [0.5000, 0.0000, 0.0000], [0.0000, 0.0000, 0.5000], [0.5000, 0.5000, 0.5000], [0.5000, 0.5000, 0.0000]], "n_ef_per_ev_fu": 4.7, "energy_ev_per_atom": -5.689, "e_form_ev_per_fu": -0.838}